1.
Computed, not measured: a geometry-optimized BaIrO2 structure at the PBE level of DFT.

a = 4.5171 Å, b = 4.5171 Å, c = 15.7592 Å
α = 90.00°, β = 90.00°, γ = 120.00°
Space group R-3m (No. 166, hexagonal axes)
Unique sites:
Ba  0.0000  0.0000  0.0000 [3 per cell]
Ir  0.0000  0.0000  0.5000 [3 per cell]
O  0.0000  0.0000  0.3856 [6 per cell]

Summary:
Raw total energy = -6.4563 eV per atom

2.
Computed, not measured: a geometry-optimized BaIr4O12 structure at the PBE level of DFT.

a = 7.558 Å, b = 7.558 Å, c = 7.558 Å
α = 90.00°, β = 90.00°, γ = 90.00°
Space group Im-3 (No. 204)
Unique sites:
Ba  0.000  0.000  0.000 [2 per cell]
Ir  0.250  0.250  0.250 [8 per cell]
O  0.000  0.195  0.297 [24 per cell]

Summary:
Raw total energy = -6.4047 eV per atom

3.
Computed, not measured: a geometry-optimized BaIr2O structure at the PBE level of DFT.

a = 5.151 Å, b = 5.151 Å, c = 13.053 Å
α = 90.00°, β = 90.00°, γ = 90.00°
Space group I4_1/amd (No. 141, origin choice 2)
Unique sites:
Ba  0.000  0.250  0.375 [4 per cell]
Ir  0.000  0.000  0.000 [8 per cell]
O  0.000  0.250  0.875 [4 per cell]

Summary:
Raw total energy = -6.3377 eV per atom

4.
Computed, not measured: a geometry-optimized Ba3IrO structure at the PBE level of DFT.

a = 5.306 Å, b = 5.306 Å, c = 5.306 Å
α = 90.00°, β = 90.00°, γ = 90.00°
Space group Pm-3m (No. 221)
Unique sites:
Ba  0.000  0.000  0.500 [3 per cell]
Ir  0.500  0.500  0.500 [1 per cell]
O  0.000  0.000  0.000 [1 per cell]

Summary:
Raw total energy = -4.7563 eV per atom

5.
Computed, not measured: a geometry-optimized Ba4IrO structure at the PBE level of DFT.

a = 8.547 Å, b = 18.067 Å, c = 7.522 Å
α = 90.00°, β = 123.66°, γ = 90.00°
Space group C2/c (No. 15)
Unique sites:
Ba  0.225  0.081  0.247 [8 per cell]
Ba  0.232  0.295  0.251 [8 per cell]
Ir  0.000  0.318  0.750 [4 per cell]
O  0.000  0.183  0.250 [4 per cell]

Summary:
Raw total energy = -4.4001 eV per atom

6.
Computed, not measured: a geometry-optimized BaIr2O8 structure at the PBE level of DFT.

a = 6.251 Å, b = 12.201 Å, c = 3.756 Å
α = 90.00°, β = 90.65°, γ = 90.00°
Space group C2/m (No. 12)
Unique sites:
Ba  0.000  0.000  0.000 [2 per cell]
Ir  0.000  0.258  0.500 [4 per cell]
O  0.000  0.260  0.000 [4 per cell]
O  0.046  0.500  0.854 [4 per cell]
O  0.229  0.144  0.505 [8 per cell]

Summary:
Raw total energy = -6.2889 eV per atom

7.
Computed, not measured: a geometry-optimized Ba12Ir3O5 structure at the PBE level of DFT.

a = 17.192 Å, b = 17.192 Å, c = 17.192 Å
α = 90.00°, β = 90.00°, γ = 90.00°
Space group Ia-3d (No. 230)
Unique sites:
Ba  0.026  0.052  0.653 [96 per cell]
Ir  0.000  0.250  0.125 [24 per cell]
O  0.000  0.000  0.000 [16 per cell]
O  0.000  0.250  0.375 [24 per cell]

Summary:
Raw total energy = -4.9368 eV per atom

8.
Computed, not measured: a geometry-optimized BaIr2O8 structure at the PBE level of DFT.

a = 4.776 Å, b = 4.776 Å, c = 6.611 Å
α = 90.00°, β = 90.00°, γ = 90.00°
Space group P4/mmm (No. 123)
Unique sites:
Ba  0.000  0.000  0.000 [1 per cell]
Ir  0.000  0.500  0.500 [2 per cell]
O  0.252  0.252  0.325 [8 per cell]

Summary:
Raw total energy = -5.9844 eV per atom

Q: Among the records above, which one has the highest raw total energy?
A: Ba4IrO